Entry 1:
The following is a DFT calculation (GGA-PBEsol) of a relaxed structure of MgMn3P4O14.

Cell and atoms, written as CIF:
```
data_MgMn3P4O14
_cell_length_a 7.4114
_cell_length_b 7.4034
_cell_length_c 9.7890
_cell_angle_alpha 90.00
_cell_angle_beta 113.68
_cell_angle_gamma 90.00
_symmetry_space_group_name_H-M 'P 1 21/c 1'
_symmetry_Int_Tables_number 14
loop_
_symmetry_equiv_pos_as_xyz
'x,y,z'
'-x,-y,-z'
'-x,y+1/2,-z+1/2'
'x,-y+1/2,z+1/2'
loop_
_atom_site_label
_atom_site_fract_x
_atom_site_fract_y
_atom_site_fract_z
_atom_site_occupancy
Mg1 0.0000 0.0000 0.0000 1
Mn1 0.3101 0.1213 0.4763 1
Mn2 0.5000 0.0000 0.0000 1
P1 0.0887 0.1000 0.6974 1
P2 0.3576 0.7035 0.1830 1
O1 0.1213 0.2501 0.1027 1
O2 0.1211 0.5584 0.8261 1
O3 0.1617 0.5851 0.1484 1
O4 0.2167 0.1226 0.8670 1
O5 0.2846 0.6192 0.5996 1
O6 0.4627 0.7136 0.3530 1
O7 0.4764 0.5943 0.1149 1
```

Total energy: -7.85 eV per atom
Formation energy from raw total energies: -2048 meV/atom

***

Entry 2:
The following is a DFT calculation (GGA-PBEsol) of a relaxed structure of Be2CuRu.

Cell and atoms, written as CIF:
```
data_Be2CuRu
_cell_length_a 5.4044
_cell_length_b 5.4044
_cell_length_c 5.4044
_cell_angle_alpha 90.00
_cell_angle_beta 90.00
_cell_angle_gamma 90.00
_symmetry_space_group_name_H-M 'F m -3 m'
_symmetry_Int_Tables_number 225
_symmetry_space_group_name_Hall '-F 4 2 3'
loop_
_atom_site_label
_atom_site_fract_x
_atom_site_fract_y
_atom_site_fract_z
_atom_site_occupancy
Be1 0.2500 0.2500 0.2500 1
Cu1 0.0000 0.0000 0.0000 1
Ru1 0.0000 0.0000 0.5000 1
```

Total energy: -5.86 eV per atom
Energy of formation from the pure elements: -0.2349 eV per atom

***

Entry 3:
The following is a DFT calculation (GGA-PBEsol) of a relaxed structure of LaTeO2.

Cell and atoms, written as CIF:
```
data_LaTeO2
_cell_length_a 4.4011
_cell_length_b 4.4011
_cell_length_c 11.7549
_cell_angle_alpha 90.00
_cell_angle_beta 90.00
_cell_angle_gamma 120.00
_symmetry_space_group_name_H-M 'R -3 m'
_symmetry_Int_Tables_number 166
_symmetry_space_group_name_Hall '-R 3 2"'
loop_
_atom_site_label
_atom_site_fract_x
_atom_site_fract_y
_atom_site_fract_z
_atom_site_occupancy
La1 0.0000 0.0000 0.0000 1
Te1 0.0000 0.0000 0.5000 1
O1 0.0000 0.0000 0.2088 1
```

Total energy: -6.30 eV per atom
Formation energy from raw total energies: -1457 meV/atom

***

Entry 4:
The following is a DFT calculation (GGA-PBEsol) of a relaxed structure of Mg3P.

Cell and atoms, written as CIF:
```
data_Mg3P
_cell_length_a 5.3819
_cell_length_b 5.3819
_cell_length_c 5.3819
_cell_angle_alpha 90.00
_cell_angle_beta 90.00
_cell_angle_gamma 90.00
_symmetry_space_group_name_H-M 'P m -3 n'
_symmetry_Int_Tables_number 223
_symmetry_space_group_name_Hall '-P 4n 2 3'
loop_
_atom_site_label
_atom_site_fract_x
_atom_site_fract_y
_atom_site_fract_z
_atom_site_occupancy
Mg1 0.0000 0.2500 0.5000 1
P1 0.0000 0.0000 0.0000 1
```

Total energy: -2.75 eV per atom
Energy of formation from the pure elements: -0.0117 eV per atom

***

Entry 5:
The following is a DFT calculation (GGA-PBEsol) of a relaxed structure of Sc2TlTc.

Cell and atoms, written as CIF:
```
data_Sc2TlTc
_cell_length_a 3.3466
_cell_length_b 3.3466
_cell_length_c 6.8740
_cell_angle_alpha 90.00
_cell_angle_beta 90.00
_cell_angle_gamma 90.00
_symmetry_space_group_name_H-M 'P 4/m m m'
_symmetry_Int_Tables_number 123
_symmetry_space_group_name_Hall '-P 4 2'
loop_
_atom_site_label
_atom_site_fract_x
_atom_site_fract_y
_atom_site_fract_z
_atom_site_occupancy
Sc1 0.0000 0.0000 0.2122 1
Tl1 0.5000 0.5000 0.5000 1
Tc1 0.5000 0.5000 0.0000 1
```

Total energy: -7.09 eV per atom
Energy of formation from the pure elements: -0.3178 eV per atom

***

Entry 6:
The following is a DFT calculation (GGA-PBEsol) of a relaxed structure of TiSi3Pt.

Cell and atoms, written as CIF:
```
data_TiSi3Pt
_cell_length_a 4.6521
_cell_length_b 4.6521
_cell_length_c 4.6521
_cell_angle_alpha 90.00
_cell_angle_beta 90.00
_cell_angle_gamma 90.00
_symmetry_space_group_name_H-M 'P m -3 m'
_symmetry_Int_Tables_number 221
_symmetry_space_group_name_Hall '-P 4 2 3'
loop_
_atom_site_label
_atom_site_fract_x
_atom_site_fract_y
_atom_site_fract_z
_atom_site_occupancy
Ti1 0.0000 0.0000 0.0000 1
Si1 0.0000 0.5000 0.5000 1
Pt1 0.5000 0.5000 0.5000 1
```

Total energy: -5.79 eV per atom
Formation energy from raw total energies: 717 meV/atom

***

Entry 7:
The following is a DFT calculation (GGA-PBEsol) of a relaxed structure of K2BeP.

Cell and atoms, written as CIF:
```
data_K2BeP
_cell_length_a 3.2662
_cell_length_b 3.2662
_cell_length_c 32.2665
_cell_angle_alpha 90.00
_cell_angle_beta 90.00
_cell_angle_gamma 120.00
_symmetry_space_group_name_H-M 'R -3 m'
_symmetry_Int_Tables_number 166
_symmetry_space_group_name_Hall '-R 3 2"'
loop_
_atom_site_label
_atom_site_fract_x
_atom_site_fract_y
_atom_site_fract_z
_atom_site_occupancy
K1 0.0000 0.0000 0.2441 1
Be1 0.0000 0.0000 0.0000 1
P1 0.0000 0.0000 0.5000 1
```

Total energy: -2.19 eV per atom
Energy of formation from the pure elements: 0.8258 eV per atom

***

Entry 8:
The following is a DFT calculation (GGA-PBEsol) of a relaxed structure of AsIr2Rh.

Cell and atoms, written as CIF:
```
data_AsIr2Rh
_cell_length_a 2.7765
_cell_length_b 3.7452
_cell_length_c 5.5414
_cell_angle_alpha 90.00
_cell_angle_beta 90.00
_cell_angle_gamma 90.00
_symmetry_space_group_name_H-M 'P m m 2'
_symmetry_Int_Tables_number 25
loop_
_symmetry_equiv_pos_as_xyz
'x,y,z'
'-x,-y,z'
'-x,y,z'
'x,-y,z'
loop_
_atom_site_label
_atom_site_fract_x
_atom_site_fract_y
_atom_site_fract_z
_atom_site_occupancy
As1 0.0000 0.0000 0.0000 1
Ir1 0.0000 0.0000 0.5171 1
Ir2 0.5000 0.5000 0.2900 1
Rh1 0.5000 0.5000 0.7737 1
```

Total energy: -8.09 eV per atom
Energy of formation from the pure elements: 0.1307 eV per atom

***

Entry 9:
The following is a DFT calculation (GGA-PBEsol) of a relaxed structure of ZrScHg2.

Cell and atoms, written as CIF:
```
data_ZrScHg2
_cell_length_a 3.5955
_cell_length_b 3.5955
_cell_length_c 6.4913
_cell_angle_alpha 90.00
_cell_angle_beta 90.00
_cell_angle_gamma 90.00
_symmetry_space_group_name_H-M 'P 4 m m'
_symmetry_Int_Tables_number 99
loop_
_symmetry_equiv_pos_as_xyz
'x,y,z'
'-y,x,z'
'-x,-y,z'
'y,-x,z'
'-x,y,z'
'y,x,z'
'x,-y,z'
'-y,-x,z'
loop_
_atom_site_label
_atom_site_fract_x
_atom_site_fract_y
_atom_site_fract_z
_atom_site_occupancy
Zr1 0.0000 0.0000 0.0000 1
Sc1 0.5000 0.5000 0.7229 1
Hg1 0.0000 0.0000 0.4949 1
Hg2 0.5000 0.5000 0.2339 1
```

Total energy: -4.50 eV per atom
Energy of formation from the pure elements: -0.2896 eV per atom

***

Entry 10:
The following is a DFT calculation (GGA-PBEsol) of a relaxed structure of LiLaGeSe2.

Cell and atoms, written as CIF:
```
data_LiLaGeSe2
_cell_length_a 5.5502
_cell_length_b 5.5502
_cell_length_c 5.5712
_cell_angle_alpha 90.00
_cell_angle_beta 90.00
_cell_angle_gamma 90.00
_symmetry_space_group_name_H-M 'P 4/m m m'
_symmetry_Int_Tables_number 123
_symmetry_space_group_name_Hall '-P 4 2'
loop_
_atom_site_label
_atom_site_fract_x
_atom_site_fract_y
_atom_site_fract_z
_atom_site_occupancy
Li1 0.0000 0.0000 0.0000 1
La1 0.0000 0.0000 0.5000 1
Ge1 0.5000 0.5000 0.0000 1
Se1 0.0000 0.5000 0.5000 1
```

Total energy: -3.81 eV per atom
Formation energy from raw total energies: 181 meV/atom

***

Entry 11:
The following is a DFT calculation (GGA-PBEsol) of a relaxed structure of LiTaZn3.

Cell and atoms, written as CIF:
```
data_LiTaZn3
_cell_length_a 5.0018
_cell_length_b 5.0018
_cell_length_c 5.0018
_cell_angle_alpha 90.00
_cell_angle_beta 90.00
_cell_angle_gamma 90.00
_symmetry_space_group_name_H-M 'P m -3 m'
_symmetry_Int_Tables_number 221
_symmetry_space_group_name_Hall '-P 4 2 3'
loop_
_atom_site_label
_atom_site_fract_x
_atom_site_fract_y
_atom_site_fract_z
_atom_site_occupancy
Li1 0.0000 0.0000 0.0000 1
Ta1 0.5000 0.5000 0.5000 1
Zn1 0.0000 0.5000 0.5000 1
```

Total energy: -2.87 eV per atom
Energy of formation from the pure elements: 0.9854 eV per atom

***

Entry 12:
The following is a DFT calculation (GGA-PBEsol) of a relaxed structure of NiMoPt2.

Cell and atoms, written as CIF:
```
data_NiMoPt2
_cell_length_a 4.6017
_cell_length_b 4.6017
_cell_length_c 2.7016
_cell_angle_alpha 90.00
_cell_angle_beta 90.00
_cell_angle_gamma 90.00
_symmetry_space_group_name_H-M 'P 4/m m m'
_symmetry_Int_Tables_number 123
_symmetry_space_group_name_Hall '-P 4 2'
loop_
_atom_site_label
_atom_site_fract_x
_atom_site_fract_y
_atom_site_fract_z
_atom_site_occupancy
Ni1 0.0000 0.0000 0.0000 1
Mo1 0.5000 0.5000 0.0000 1
Pt1 0.0000 0.5000 0.5000 1
```

Total energy: -7.92 eV per atom
Energy of formation from the pure elements: 0.0442 eV per atom

***

Question: Among the records above, which one has the highest total energy?
Answer: K2BeP